1.
SnS PBE optimized geometry; size of the total moment = 0.00 μB per formula unit; uncorrected formation energy = -0.166 eV/atom; DOS(E_F) = 0.261 states/eV per cell; space group = No. 216; raw total energy = -4.2312 eV/atom
1.0
6.5166 0.0000 0.0000
0.0000 6.5166 0.0000
0.0000 0.0000 6.5166
Sn S
4 4
Direct
0.0000 0.0000 0.0000
0.0000 0.5000 0.5000
0.5000 0.0000 0.5000
0.5000 0.5000 0.0000
0.2500 0.2500 0.2500
0.2500 0.7500 0.7500
0.7500 0.2500 0.7500
0.7500 0.7500 0.2500

=====

2.
AlPIr2 PBE optimized geometry; size of the total moment = 0.00 μB per formula unit; DOS(E_F) = 2.591 states/eV per cell; DFT formation energy = -0.353 eV/atom; distance to the lowest polymorph of the same formula = 0.073 eV per atom; space group = No. 99; raw total energy = -7.0715 eV/atom
1.0
3.2933 0.0000 0.0000
0.0000 3.2933 0.0000
0.0000 0.0000 5.2710
Al P Ir
1 1 2
Direct
0.0000 0.0000 0.0000
0.5000 0.5000 0.6893
0.0000 0.0000 0.5358
0.5000 0.5000 0.1727

=====

3.
ThInIr PBE optimized geometry; size of the total moment = 0.00 μB per formula unit; DOS(E_F) = 14.457 states/eV per cell; DFT formation energy = -0.596 eV/atom; space group = No. 216; raw total energy = -6.9362 eV/atom
1.0
6.7709 0.0000 0.0000
0.0000 6.7709 0.0000
0.0000 0.0000 6.7709
Th In Ir
4 4 4
Direct
0.0000 0.0000 0.0000
0.0000 0.5000 0.5000
0.5000 0.0000 0.5000
0.5000 0.5000 0.0000
0.0000 0.0000 0.5000
0.0000 0.5000 0.0000
0.5000 0.0000 0.0000
0.5000 0.5000 0.5000
0.2500 0.2500 0.2500
0.2500 0.7500 0.7500
0.7500 0.2500 0.7500
0.7500 0.7500 0.2500

=====

4.
La2Tb4DyEr PBE optimized geometry; size of the total moment = 0.00 μB per formula unit; DOS(E_F) = 16.065 states/eV per cell; DFT formation energy = 0.112 eV/atom; space group = No. 47; raw total energy = -4.5803 eV/atom
1.0
3.7675 0.0000 0.0000
0.0000 5.9053 0.0000
0.0000 0.0000 11.9768
La Tb Dy Er
2 4 1 1
Direct
0.0000 0.0000 0.0000
0.5000 0.5000 0.5000
0.0000 0.5000 0.2383
0.0000 0.5000 0.7617
0.5000 0.0000 0.2596
0.5000 0.0000 0.7404
0.0000 0.0000 0.5000
0.5000 0.5000 0.0000

=====

5.
Cs3ThSb2O9 PBE optimized geometry; size of the total moment = 0.91 μB per formula unit; uncorrected formation energy = -1.766 eV/atom; DOS(E_F) = 10.640 states/eV per cell; space group = No. 164; raw total energy = -5.9555 eV/atom
1.0
6.1088 0.0000 0.0000
-3.0544 5.2904 0.0000
0.0000 0.0000 7.5131
Cs Th Sb O
3 1 2 9
Direct
0.0000 0.0000 0.0000
0.3333 0.6667 0.6681
0.6667 0.3333 0.3319
0.0000 0.0000 0.5000
0.3333 0.6667 0.1615
0.6667 0.3333 0.8385
0.0000 0.5000 0.0000
0.1774 0.3549 0.3150
0.1774 0.8226 0.3150
0.3549 0.1774 0.6850
0.5000 0.0000 0.0000
0.5000 0.5000 0.0000
0.6451 0.8226 0.3150
0.8226 0.1774 0.6850
0.8226 0.6451 0.6850

=====

6.
Tb2Nd5Tm5 PBE optimized geometry; size of the total moment = 0.00 μB per formula unit; DOS(E_F) = 17.490 states/eV per cell; DFT formation energy = 0.021 eV/atom; distance to the lowest polymorph of the same formula = 0.000 eV per atom; space group = No. 12; raw total energy = -4.6000 eV/atom
1.0
7.5933 -2.5244 0.0000
7.5933 2.5244 0.0000
-5.0768 0.0000 10.1537
Tb Nd Tm
2 5 5
Direct
0.0831 0.0831 0.2479
0.9169 0.9169 0.7521
0.3344 0.3344 0.5010
0.4149 0.4149 0.2490
0.5000 0.5000 0.0000
0.5851 0.5851 0.7510
0.6656 0.6656 0.4990
0.0000 0.0000 0.5000
0.1685 0.1685 0.0015
0.2510 0.2510 0.7527
0.7490 0.7490 0.2473
0.8315 0.8315 0.9985

=====

7.
Ce3MgOs2 PBE optimized geometry; size of the total moment = 1.26 μB per formula unit; DOS(E_F) = 24.044 states/eV per cell; DFT formation energy = -0.093 eV/atom; space group = No. 72; raw total energy = -7.0689 eV/atom
1.0
-3.3059 6.6299 3.4901
3.3059 -6.6299 3.4901
3.3059 6.6299 -3.4901
Ce Mg Os
6 2 4
Direct
0.0267 0.7500 0.2767
0.2500 0.2500 0.0000
0.4733 0.7500 0.7233
0.5267 0.2500 0.2767
0.7500 0.7500 0.0000
0.9733 0.2500 0.7233
0.0000 0.5000 0.5000
0.5000 0.0000 0.5000
0.1405 0.2094 0.3498
0.3595 0.7094 0.0689
0.6405 0.2906 0.9311
0.8595 0.7906 0.6502

=====

8.
NdSmRhAu PBE optimized geometry; size of the total moment = 0.00 μB per formula unit; DOS(E_F) = 4.959 states/eV per cell; DFT formation energy = -0.773 eV/atom; distance to the lowest polymorph of the same formula = 0.000 eV per atom; space group = No. 38; raw total energy = -5.8021 eV/atom
1.0
4.6176 0.0000 0.0000
0.0000 3.9271 0.0000
0.0000 0.0000 10.7422
Nd Sm Rh Au
2 2 2 2
Direct
0.0000 0.0000 0.0000
0.0000 0.5000 0.5000
0.5000 0.0000 0.2798
0.5000 0.5000 0.7798
0.0000 0.0000 0.7361
0.0000 0.5000 0.2361
0.5000 0.0000 0.5625
0.5000 0.5000 0.0625

=====

9.
Al2Zn2Ag5 PBE optimized geometry; size of the total moment = 0.00 μB per formula unit; DOS(E_F) = 4.219 states/eV per cell; DFT formation energy = 0.058 eV/atom; distance to the lowest polymorph of the same formula = 0.081 eV per atom; space group = No. 64; raw total energy = -2.6409 eV/atom
1.0
6.3874 -3.5249 0.0000
6.3874 3.5249 0.0000
0.0000 0.0000 7.0313
Al Zn Ag
4 4 10
Direct
0.2081 0.2081 0.0000
0.2919 0.2919 0.5000
0.7081 0.7081 0.5000
0.7919 0.7919 0.0000
0.1304 0.8696 0.6262
0.3696 0.6304 0.1262
0.6304 0.3696 0.8738
0.8696 0.1304 0.3738
0.0000 0.0000 0.0000
0.0289 0.6961 0.3239
0.1961 0.5289 0.8239
0.3039 0.9711 0.3239
0.4711 0.8039 0.8239
0.5000 0.5000 0.5000
0.5289 0.1961 0.1761
0.6961 0.0289 0.6761
0.8039 0.4711 0.1761
0.9711 0.3039 0.6761

=====

10.
ZrInOsPd PBE optimized geometry; size of the total moment = 0.00 μB per formula unit; DOS(E_F) = 11.480 states/eV per cell; DFT formation energy = -0.343 eV/atom; space group = No. 216; raw total energy = -7.2698 eV/atom
1.0
6.5821 0.0000 0.0000
0.0000 6.5821 0.0000
0.0000 0.0000 6.5821
Zr In Os Pd
4 4 4 4
Direct
0.0000 0.0000 0.0000
0.0000 0.5000 0.5000
0.5000 0.0000 0.5000
0.5000 0.5000 0.0000
0.0000 0.0000 0.5000
0.0000 0.5000 0.0000
0.5000 0.0000 0.0000
0.5000 0.5000 0.5000
0.2500 0.2500 0.2500
0.2500 0.7500 0.7500
0.7500 0.2500 0.7500
0.7500 0.7500 0.2500
0.2500 0.2500 0.7500
0.2500 0.7500 0.2500
0.7500 0.2500 0.2500
0.7500 0.7500 0.7500

=====

11.
Mg2CoW PBE optimized geometry; size of the total moment = 1.73 μB per formula unit; DOS(E_F) = 15.603 states/eV per cell; DFT formation energy = 0.443 eV/atom; distance to the lowest polymorph of the same formula = 0.290 eV per atom; space group = No. 166; raw total energy = -5.3691 eV/atom
1.0
2.8341 0.0000 0.0000
-1.4171 2.4544 0.0000
0.0000 0.0000 27.7914
Mg Co W
6 3 3
Direct
0.0000 0.0000 0.2438
0.0000 0.0000 0.7562
0.3333 0.6667 0.4229
0.3333 0.6667 0.9104
0.6667 0.3333 0.0896
0.6667 0.3333 0.5771
0.0000 0.0000 0.5000
0.3333 0.6667 0.1667
0.6667 0.3333 0.8333
0.0000 0.0000 0.0000
0.3333 0.6667 0.6667
0.6667 0.3333 0.3333

=====

12.
YTlNi2Ru PBE optimized geometry; size of the total moment = 2.23 μB per formula unit; DOS(E_F) = 3.607 states/eV per cell; DFT formation energy = 1.657 eV/atom; space group = No. 123; raw total energy = -4.2768 eV/atom
1.0
4.6190 0.0000 0.0000
0.0000 4.6190 0.0000
0.0000 0.0000 5.6579
Y Tl Ni Ru
1 1 2 1
Direct
0.0000 0.0000 0.0000
0.0000 0.0000 0.5000
0.0000 0.5000 0.0000
0.5000 0.0000 0.0000
0.5000 0.5000 0.5000

=====

> Look up the size of the total moment of the seventh one.

1.26 μB per formula unit

=====

> What is the formula in the eighth record?

NdSmRhAu

=====

> size of the total moment of number 7 (Ce3MgOs2)?

1.26 μB per formula unit